MnP2Br: relaxed, PBE.

Unit cell a=3.530 b=3.530 c=6.424 alpha=90.00 beta=90.00 gamma=90.00
Each line ends with the local moment (μB).
Fractional coordinates of all 4 atoms:
P1 0.000 0.000 0.000  0.01
P2 0.500 0.500 0.000  0.01
Br1 0.500 0.000 0.500  0.09
Mn1 0.000 0.500 0.500  4.09

- space-group type = P4/mmm (123)
- ΔE to the lowest computed polymorph (meV per atom) = 495
- DFT total energy (eV per atom) = -4.989
- DOS(E_F) (states/eV/cell) = 2.1